# MgTa2Be (PBE-GGA, relaxed)
# Energy relative to the elements   31 kJ per mole of atoms
# Energy   -6.9309 eV per atom
data_MgTa2Be
_chemical_formula_sum 'Mg1 Ta2 Be1'
_space_group_name_H-M_alt 'P 1'
_space_group_IT_number 1
_cell_length_a 4.9841
_cell_length_b 4.9841
_cell_length_c 4.9841
_cell_angle_alpha 132.98
_cell_angle_beta 132.98
_cell_angle_gamma 68.69
loop_
_space_group_symop_operation_xyz
'x,y,z'
loop_
_atom_site_label
_atom_site_fract_x
_atom_site_fract_y
_atom_site_fract_z
_atom_site_occupancy
Be1 0.2500 0.7500 0.5000 1
Ta1 0.0000 0.0000 0.0000 1
Mg1 0.7500 0.2500 0.5000 1
Ta2 0.5000 0.5000 0.0000 1


# Li2DyGaAu2 (PBE-GGA, relaxed)
# Energy relative to the elements   -56 kJ per mole of atoms
# Energy   -3.5851 eV per atom
data_Li2DyGaAu2
_chemical_formula_sum 'Li2 Dy1 Ga1 Au2'
_space_group_name_H-M_alt 'P 1'
_space_group_IT_number 1
_cell_length_a 4.4781
_cell_length_b 4.4781
_cell_length_c 6.3348
_cell_angle_alpha 90.00
_cell_angle_beta 90.00
_cell_angle_gamma 120.00
loop_
_space_group_symop_operation_xyz
'x,y,z'
loop_
_atom_site_label
_atom_site_fract_x
_atom_site_fract_y
_atom_site_fract_z
_atom_site_occupancy
Au1 0.6667 0.3333 0.7419 1
Au2 0.3333 0.6667 0.2581 1
Dy1 0.0000 0.0000 0.0000 1
Li1 0.6667 0.3333 0.3284 1
Ga1 0.0000 0.0000 0.5000 1
Li2 0.3333 0.6667 0.6716 1


# MgTlOs2 (PBE-GGA, relaxed)
# Energy relative to the elements   70 kJ per mole of atoms
# Energy   -5.8818 eV per atom
data_MgTlOs2
_chemical_formula_sum 'Mg1 Tl1 Os2'
_space_group_name_H-M_alt 'P 1'
_space_group_IT_number 1
_cell_length_a 4.8192
_cell_length_b 4.8192
_cell_length_c 4.8192
_cell_angle_alpha 128.34
_cell_angle_beta 128.34
_cell_angle_gamma 76.07
loop_
_space_group_symop_operation_xyz
'x,y,z'
loop_
_atom_site_label
_atom_site_fract_x
_atom_site_fract_y
_atom_site_fract_z
_atom_site_occupancy
Os1 0.0000 0.0000 0.0000 1
Os2 0.2500 0.7500 0.5000 1
Mg1 0.7500 0.2500 0.5000 1
Tl1 0.5000 0.5000 0.0000 1


# ScCdAs2 (PBE-GGA, relaxed)
# Energy relative to the elements   -49 kJ per mole of atoms
# Energy   -4.6394 eV per atom
data_ScCdAs2
_chemical_formula_sum 'Sc1 Cd1 As2'
_space_group_name_H-M_alt 'P 1'
_space_group_IT_number 1
_cell_length_a 5.5735
_cell_length_b 5.5735
_cell_length_c 4.1887
_cell_angle_alpha 78.70
_cell_angle_beta 78.70
_cell_angle_gamma 40.21
loop_
_space_group_symop_operation_xyz
'x,y,z'
loop_
_atom_site_label
_atom_site_fract_x
_atom_site_fract_y
_atom_site_fract_z
_atom_site_occupancy
As1 0.9854 0.9854 0.0946 1
Cd1 0.5020 0.5020 0.5595 1
Sc1 0.2656 0.2656 0.1698 1
As2 0.7470 0.7470 0.6761 1


# CsAsNF2 (PBE-GGA, relaxed)
# Energy   -2.8066 eV per atom
# Energy relative to the elements, uncorrected   0.7076 eV/atom
data_CsAsNF2
_chemical_formula_sum 'Cs1 As1 N1 F2'
_space_group_name_H-M_alt 'P 1'
_space_group_IT_number 1
_cell_length_a 5.4339
_cell_length_b 5.4339
_cell_length_c 5.0455
_cell_angle_alpha 90.00
_cell_angle_beta 90.00
_cell_angle_gamma 90.00
loop_
_space_group_symop_operation_xyz
'x,y,z'
loop_
_atom_site_label
_atom_site_fract_x
_atom_site_fract_y
_atom_site_fract_z
_atom_site_occupancy
F1 0.0000 0.5000 0.0000 1
F2 0.5000 0.0000 0.0000 1
As1 0.5000 0.5000 0.5000 1
N1 0.0000 0.0000 0.5000 1
Cs1 0.0000 0.0000 0.0000 1


# LiGaCo (PBE-GGA, relaxed)
# Energy relative to the elements   -12 kJ per mole of atoms
# Energy   -4.1389 eV per atom
data_LiGaCo
_chemical_formula_sum 'Li1 Ga1 Co1'
_space_group_name_H-M_alt 'P 1'
_space_group_IT_number 1
_cell_length_a 2.5377
_cell_length_b 4.0842
_cell_length_c 4.0842
_cell_angle_alpha 120.00
_cell_angle_beta 90.00
_cell_angle_gamma 90.00
loop_
_space_group_symop_operation_xyz
'x,y,z'
loop_
_atom_site_label
_atom_site_fract_x
_atom_site_fract_y
_atom_site_fract_z
_atom_site_occupancy
Co1 0.6435 0.3333 0.6667 1
Li1 0.3319 0.6667 0.3333 1
Ga1 0.0246 0.0000 0.0000 1


# CdIn2Ir (PBE-GGA, relaxed)
# Energy relative to the elements   16 kJ per mole of atoms
# Energy   -3.6514 eV per atom
data_CdIn2Ir
_chemical_formula_sum 'Cd1 In2 Ir1'
_space_group_name_H-M_alt 'P 1'
_space_group_IT_number 1
_cell_length_a 9.9103
_cell_length_b 9.9103
_cell_length_c 9.9103
_cell_angle_alpha 18.37
_cell_angle_beta 18.37
_cell_angle_gamma 18.37
loop_
_space_group_symop_operation_xyz
'x,y,z'
loop_
_atom_site_label
_atom_site_fract_x
_atom_site_fract_y
_atom_site_fract_z
_atom_site_occupancy
In1 0.2386 0.2386 0.2386 1
In2 0.9993 0.9993 0.9993 1
Cd1 0.7605 0.7605 0.7605 1
Ir1 0.5015 0.5015 0.5015 1


# Cs2CuPb (PBE-GGA, relaxed)
# Energy relative to the elements   12 kJ per mole of atoms
# Energy   -2.2542 eV per atom
data_Cs2CuPb
_chemical_formula_sum 'Cs4 Cu2 Pb2'
_space_group_name_H-M_alt 'P 1'
_space_group_IT_number 1
_cell_length_a 10.1167
_cell_length_b 10.1167
_cell_length_c 10.1167
_cell_angle_alpha 93.56
_cell_angle_beta 93.56
_cell_angle_gamma 151.14
loop_
_space_group_symop_operation_xyz
'x,y,z'
loop_
_atom_site_label
_atom_site_fract_x
_atom_site_fract_y
_atom_site_fract_z
_atom_site_occupancy
Cs1 0.6250 0.3076 0.1826 1
Cu1 0.7500 0.2500 0.5000 1
Cu2 0.5000 0.5000 0.0000 1
Cs2 0.1250 0.4424 0.8174 1
Pb1 0.2500 0.7500 0.5000 1
Cs3 0.6924 0.8750 0.3174 1
Pb2 0.0000 0.0000 0.0000 1
Cs4 0.5576 0.3750 0.6826 1


# La2Be4Si3Ge (PBE-GGA, relaxed)
# Energy   -4.9429 eV per atom
# Energy relative to the elements, uncorrected   -0.3783 eV/atom
data_La2Be4Si3Ge
_chemical_formula_sum 'La2 Be4 Si3 Ge1'
_space_group_name_H-M_alt 'P 1'
_space_group_IT_number 1
_cell_length_a 4.1335
_cell_length_b 4.1335
_cell_length_c 9.4789
_cell_angle_alpha 90.00
_cell_angle_beta 90.00
_cell_angle_gamma 90.00
loop_
_space_group_symop_operation_xyz
'x,y,z'
loop_
_atom_site_label
_atom_site_fract_x
_atom_site_fract_y
_atom_site_fract_z
_atom_site_occupancy
Be1 0.0000 0.5000 0.3728 1
Be2 0.0000 0.0000 0.0000 1
Be3 0.5000 0.5000 0.0000 1
Si1 0.0000 0.0000 0.5000 1
La1 0.5000 0.0000 0.2460 1
Si2 0.5000 0.0000 0.8734 1
Be4 0.5000 0.0000 0.6272 1
Si3 0.0000 0.5000 0.1266 1
Ge1 0.5000 0.5000 0.5000 1
La2 0.0000 0.5000 0.7540 1


# Sc2P3Pt2 (PBE-GGA, relaxed)
# Energy relative to the elements   -79 kJ per mole of atoms
# Energy   -6.6703 eV per atom
data_Sc2P3Pt2
_chemical_formula_sum 'Sc4 P6 Pt4'
_space_group_name_H-M_alt 'P 1'
_space_group_IT_number 1
_cell_length_a 4.2902
_cell_length_b 5.2487
_cell_length_c 10.7095
_cell_angle_alpha 90.00
_cell_angle_beta 90.00
_cell_angle_gamma 90.00
loop_
_space_group_symop_operation_xyz
'x,y,z'
loop_
_atom_site_label
_atom_site_fract_x
_atom_site_fract_y
_atom_site_fract_z
_atom_site_occupancy
Sc1 0.5000 0.6095 0.6388 1
P1 0.0000 0.0000 0.0000 1
P2 0.5000 0.3888 0.0939 1
Sc2 0.5000 0.8905 0.1388 1
Pt1 0.0000 0.3246 0.1754 1
Sc3 0.5000 0.1095 0.8612 1
Sc4 0.5000 0.3905 0.3612 1
Pt2 0.0000 0.8246 0.3246 1
Pt3 0.0000 0.6754 0.8246 1
P3 0.5000 0.8888 0.4061 1
P4 0.0000 0.5000 0.5000 1
Pt4 0.0000 0.1754 0.6754 1
P5 0.5000 0.1112 0.5939 1
P6 0.5000 0.6112 0.9061 1


# Ba2LiAu (PBE-GGA, relaxed)
# Energy relative to the elements   -27 kJ per mole of atoms
# Energy   -2.5424 eV per atom
data_Ba2LiAu
_chemical_formula_sum 'Ba2 Li1 Au1'
_space_group_name_H-M_alt 'P 1'
_space_group_IT_number 1
_cell_length_a 4.7934
_cell_length_b 4.7934
_cell_length_c 9.4079
_cell_angle_alpha 75.48
_cell_angle_beta 75.48
_cell_angle_gamma 59.73
loop_
_space_group_symop_operation_xyz
'x,y,z'
loop_
_atom_site_label
_atom_site_fract_x
_atom_site_fract_y
_atom_site_fract_z
_atom_site_occupancy
Li1 0.7500 0.7500 0.7500 1
Ba1 0.9832 0.9832 0.0479 1
Ba2 0.5168 0.5168 0.4521 1
Au1 0.2500 0.2500 0.2500 1


# CaPt2Br (PBE-GGA, relaxed)
# Energy   -4.5510 eV per atom
# Energy relative to the elements, uncorrected   -0.6120 eV/atom
data_CaPt2Br
_chemical_formula_sum 'Ca1 Pt2 Br1'
_space_group_name_H-M_alt 'P 1'
_space_group_IT_number 1
_cell_length_a 5.9379
_cell_length_b 4.4332
_cell_length_c 4.4284
_cell_angle_alpha 120.04
_cell_angle_beta 90.19
_cell_angle_gamma 89.99
loop_
_space_group_symop_operation_xyz
'x,y,z'
loop_
_atom_site_label
_atom_site_fract_x
_atom_site_fract_y
_atom_site_fract_z
_atom_site_occupancy
Br1 0.5371 0.6245 0.2489 1
Ca1 0.7930 0.2914 0.5827 1
Pt1 0.0866 0.6253 0.2506 1
Pt2 0.0833 0.9588 0.9178 1


Results for M_tot: 0.0000, 0.0000, 0.0000, 0.0000, 0.8180, 0.2799, 0.0000, 0.0000, 0.0000, 0.0000, 0.0000, 0.0000 (in μB per atom, following the order of the records).